! LiPaSb PBE optimized geometry; values from VASP
&SYSTEM
  ibrav = 0, nat = 3, ntyp = 3
/
ATOMIC_SPECIES
Li 6.94 Li.upf
Pa 231.04 Pa.upf
Sb 121.76 Sb.upf
CELL_PARAMETERS angstrom
0.0000 3.5471 3.5471
3.5471 0.0000 3.5471
3.5471 3.5471 0.0000
ATOMIC_POSITIONS crystal
Li 0.0000 0.0000 0.0000
Pa 0.2500 0.2500 0.2500
Sb 0.5000 0.5000 0.5000
! Electronic total energy, eV for the cell shown: -14.41

! LiScPa PBE optimized geometry; values from VASP
&SYSTEM
  ibrav = 0, nat = 3, ntyp = 3
/
ATOMIC_SPECIES
Li 6.94 Li.upf
Sc 44.96 Sc.upf
Pa 231.04 Pa.upf
CELL_PARAMETERS angstrom
0.0000 3.3226 3.3226
3.3226 0.0000 3.3226
3.3226 3.3226 0.0000
ATOMIC_POSITIONS crystal
Li 0.0000 0.0000 0.0000
Sc 0.2500 0.2500 0.2500
Pa 0.7500 0.7500 0.7500
! Electronic total energy, eV for the cell shown: -14.81

! LiScPa PBE optimized geometry; values from VASP
&SYSTEM
  ibrav = 0, nat = 3, ntyp = 3
/
ATOMIC_SPECIES
Li 6.94 Li.upf
Sc 44.96 Sc.upf
Pa 231.04 Pa.upf
CELL_PARAMETERS angstrom
0.0000 3.3499 3.3499
3.3499 0.0000 3.3499
3.3499 3.3499 0.0000
ATOMIC_POSITIONS crystal
Li 0.0000 0.0000 0.0000
Sc 0.5000 0.5000 0.5000
Pa 0.2500 0.2500 0.2500
! Electronic total energy, eV for the cell shown: -13.63

no.,size of the total moment (μB per atom)
1,0.632
2,0.613
3,0.346